#i
Material: Y2TlO
Method: DFT, GGA-PBE
State: optimized geometry

The structure belongs to space group P2/c (No. 13); the cell edges are 6.3253, 6.2534 and 11.1395 Å and the angles 90.00°, 116.12° and 90.00°. The inequivalent atoms are Y at (0.0071, 0.2413, 0.0671), Y at (0.2935, 0.1691, 0.8324), Tl at (0.4414, 0.3334, 0.3701) and O at (0.0147, 0.0985, 0.6246).

#ii
Material: Y2TlO
Method: DFT, GGA-PBE
State: optimized geometry

The structure belongs to space group C2/m (No. 12); the cell edges are 6.4224, 6.4225 and 8.8125 Å and the angles 90.00°, 90.14° and 90.00°. The inequivalent atoms are Y at (0.0000, 0.2500, 0.0000), Y at (0.2491, 0.0000, 0.6699), Tl at (0.2490, 0.5000, 0.6971) and O at (0.2496, 0.0000, 0.9298).

The winner here is #ii, beating the second structure by 9.1 kJ/mol of atoms.

#i
Material: YTlO2
Method: DFT, GGA-PBE
State: optimized geometry

The structure belongs to space group R-3m (No. 166, hexagonal axes); the cell edges are 3.5125, 3.5125 and 19.5017 Å and the angles 90.00°, 90.00° and 120.00°. The inequivalent atoms are Y at (0.0000, 0.0000, 0.0000), Tl at (0.0000, 0.0000, 0.5000) and O at (0.0000, 0.0000, 0.2757).

#ii
Material: YTlO2
Method: DFT, GGA-PBE
State: optimized geometry

The structure belongs to space group R3m (No. 160, hexagonal axes); the cell edges are 3.5202, 3.5202 and 20.3004 Å and the angles 90.00°, 90.00° and 120.00°. The inequivalent atoms are Y at (0.0000, 0.0000, 0.0000), Tl at (0.0000, 0.0000, 0.8198), O at (0.0000, 0.0000, 0.3986) and O at (0.0000, 0.0000, 0.6212).

#iii
Material: YTlO2
Method: DFT, GGA-PBE
State: optimized geometry

The structure belongs to space group I-42d (No. 122); the cell edges are 5.9606, 5.9606 and 9.9576 Å and the angles 90.00°, 90.00° and 90.00°. The inequivalent atoms are Y at (0.0000, 0.0000, 0.0000), Tl at (0.0000, 0.0000, 0.5000) and O at (0.1594, 0.2500, 0.1250).

#iv
Material: YTlO2
Method: DFT, GGA-PBE
State: optimized geometry

The structure belongs to space group Fm-3m (No. 225); the cell edges are 6.2123, 6.2123 and 6.2123 Å and the angles 90.00°, 90.00° and 90.00°. The inequivalent atoms are Y at (0.0000, 0.0000, 0.0000), Tl at (0.0000, 0.0000, 0.5000) and O at (0.2500, 0.2500, 0.2500).

The winner here is #i, beating the second structure by 1.1 kJ/mol of atoms.

#i
Material: YTl2O
Method: DFT, GGA-PBE
State: optimized geometry

The structure belongs to space group I-42d (No. 122); the cell edges are 10.3449, 10.3449 and 4.2643 Å and the angles 90.00°, 90.00° and 90.00°. The inequivalent atoms are Y at (0.0000, 0.0000, 0.0000), Tl at (0.1311, 0.2500, 0.6250) and O at (0.0000, 0.0000, 0.5000).

#ii
Material: YTl2O
Method: DFT, GGA-PBE
State: optimized geometry

The structure belongs to space group Fm-3m (No. 225); the cell edges are 7.1643, 7.1643 and 7.1643 Å and the angles 90.00°, 90.00° and 90.00°. The inequivalent atoms are Y at (0.0000, 0.0000, 0.0000), Tl at (0.2500, 0.2500, 0.2500) and O at (0.0000, 0.0000, 0.5000).

The winner here is #i, beating the second structure by 96.1 kJ/mol of atoms.

#i
Material: Y4Tl2O
Method: DFT, GGA-PBE
State: optimized geometry

The structure belongs to space group P2_1/m (No. 11); the cell edges are 6.4444, 6.8904 and 9.0193 Å and the angles 90.00°, 110.26° and 90.00°. The inequivalent atoms are Y at (0.0325, 0.0022, 0.2761), Y at (0.3709, 0.7500, 0.0539), Y at (0.4227, 0.7500, 0.6478), Tl at (0.1951, 0.2500, 0.0273), Tl at (0.3072, 0.2500, 0.5861) and O at (0.2047, 0.7500, 0.7934).

#ii
Material: Y4Tl2O
Method: DFT, GGA-PBE
State: optimized geometry

The structure belongs to space group I4/mmm (No. 139); the cell edges are 4.6494, 4.6494 and 16.4917 Å and the angles 90.00°, 90.00° and 90.00°. The inequivalent atoms are Y at (0.0000, 0.0000, 0.1708), Y at (0.0000, 0.5000, 0.0000), Tl at (0.0000, 0.0000, 0.3606) and O at (0.0000, 0.0000, 0.0000).

The winner here is #i, beating the second structure by 1.0 kJ/mol of atoms.

#i
Material: Tl2ZnO
Method: DFT, GGA-PBE
State: optimized geometry

The structure belongs to space group Fm-3m (No. 225); the cell edges are 6.9342, 6.9342 and 6.9342 Å and the angles 90.00°, 90.00° and 90.00°. The inequivalent atoms are Tl at (0.2500, 0.2500, 0.2500), Zn at (0.0000, 0.0000, 0.0000) and O at (0.0000, 0.0000, 0.5000).

#ii
Material: Tl2ZnO
Method: DFT, GGA-PBE
State: optimized geometry

The structure belongs to space group I-42d (No. 122); the cell edges are 7.1594, 7.1594 and 7.1488 Å and the angles 90.00°, 90.00° and 90.00°. The inequivalent atoms are Tl at (0.1915, 0.2500, 0.1250), Zn at (0.0000, 0.0000, 0.5000) and O at (0.0000, 0.0000, 0.0000).

The winner here is #ii, beating the second structure by 22.2 kJ/mol of atoms.

#i
Material: Zr2TlO
Method: DFT, GGA-PBE
State: optimized geometry

The structure belongs to space group I-42d (No. 122); the cell edges are 6.7224, 6.7224 and 7.1370 Å and the angles 90.00°, 90.00° and 90.00°. The inequivalent atoms are Zr at (0.1406, 0.7500, 0.1250), Tl at (0.0000, 0.0000, 0.5000) and O at (0.0000, 0.0000, 0.0000).

#ii
Material: Zr2TlO
Method: DFT, GGA-PBE
State: optimized geometry

The structure belongs to space group Fm-3m (No. 225); the cell edges are 6.7215, 6.7215 and 6.7215 Å and the angles 90.00°, 90.00° and 90.00°. The inequivalent atoms are Zr at (0.2500, 0.2500, 0.2500), Tl at (0.0000, 0.0000, 0.0000) and O at (0.0000, 0.0000, 0.5000).

#iii
Material: Zr2TlO
Method: DFT, GGA-PBE
State: optimized geometry

The structure belongs to space group R-3m (No. 166, hexagonal axes); the cell edges are 3.4476, 3.4476 and 21.4296 Å and the angles 90.00°, 90.00° and 120.00°. The inequivalent atoms are Zr at (0.0000, 0.0000, 0.2203), Tl at (0.0000, 0.0000, 0.0000) and O at (0.0000, 0.0000, 0.5000).

#iv
Material: Zr2TlO
Method: DFT, GGA-PBE
State: optimized geometry

The structure belongs to space group P4/mmm (No. 123); the cell edges are 3.0128, 3.0128 and 7.5566 Å and the angles 90.00°, 90.00° and 90.00°. The inequivalent atoms are Zr at (0.0000, 0.0000, 0.1934), Tl at (0.5000, 0.5000, 0.5000) and O at (0.5000, 0.5000, 0.0000).

The winner here is #iii, beating the second structure by 8.5 kJ/mol of atoms.